# GGA-PBE MnHg2Te, optimized geometry
data_MnHg2Te
_cell_length_a 5.0578
_cell_length_b 5.0578
_cell_length_c 7.7468
_cell_angle_alpha 90.00
_cell_angle_beta 90.00
_cell_angle_gamma 90.00
_symmetry_space_group_name_H-M 'I -4 m 2'
_symmetry_Int_Tables_number 119
_symmetry_space_group_name_Hall 'I -4 -2'
loop_
_atom_site_label
_atom_site_type_symbol
_atom_site_fract_x
_atom_site_fract_y
_atom_site_fract_z
_atom_site_occupancy
Mn1 Mn 0.0000 0.0000 0.0000 1
Hg1 Hg 0.0000 0.0000 0.5000 1
Hg2 Hg 0.0000 0.5000 0.2500 1
Te1 Te 0.0000 0.5000 0.7500 1
# ΔE_f (raw) in eV/atom: 0.28

---

# GGA-PBE LiPuAu, optimized geometry
data_LiPuAu
_cell_length_a 4.0605
_cell_length_b 4.0605
_cell_length_c 7.9910
_cell_angle_alpha 90.00
_cell_angle_beta 90.00
_cell_angle_gamma 90.00
_symmetry_space_group_name_H-M 'P 4/n m m'
_symmetry_Int_Tables_number 129
loop_
_symmetry_equiv_pos_as_xyz
'x,y,z'
'-x,-y,-z'
'-y+1/2,x,z'
'y+1/2,-x,-z'
'-x+1/2,-y+1/2,z'
'x+1/2,y+1/2,-z'
'y,-x+1/2,z'
'-y,x+1/2,-z'
'x+1/2,-y,-z'
'-x+1/2,y,z'
'-y,-x,-z'
'y,x,z'
'-x,y+1/2,-z'
'x,-y+1/2,z'
'y+1/2,x+1/2,-z'
'-y+1/2,-x+1/2,z'
loop_
_atom_site_label
_atom_site_type_symbol
_atom_site_fract_x
_atom_site_fract_y
_atom_site_fract_z
_atom_site_occupancy
Li1 Li 0.2500 0.7500 0.0000 1
Pu1 Pu 0.2500 0.2500 0.3684 1
Au1 Au 0.2500 0.2500 0.7711 1
# Formation energy from the elements in eV per atom: -0.334
# Energy relative to the lowest polymorph listed for this composition in kcal/mol of atoms: 0.00

---

no.,size of the total moment (μB/f.u.),DFT total energy (eV/atom)
1,4.7,-2.95
2,6.2,-6.84